*one*
Computed, not measured: Y4ZnOs after structural relaxation at the PBE level of DFT. Values from VASP.

The structure in Quantum ESPRESSO input format:
```
&SYSTEM
  ibrav = 0, nat = 6, ntyp = 3
/
ATOMIC_SPECIES
Y 88.91 Y.upf
Zn 65.41 Zn.upf
Os 190.23 Os.upf
CELL_PARAMETERS angstrom
0.0000 4.2200 4.2200
4.2200 0.0000 4.2200
4.2200 4.2200 0.0000
ATOMIC_POSITIONS angstrom
Y 3.1781 3.1781 3.1781
Y 5.2620 5.2620 3.1781
Y 5.2620 3.1781 5.2620
Y 3.1781 5.2620 5.2620
Zn 0.0000 0.0000 0.0000
Os 6.3301 6.3301 6.3301
```

## Properties
The symmetry is F-43m. The magnetization comes out at 1.13 μB per cell.



*two*
Computed, not measured: Y4ZnOs after structural relaxation at the PBE level of DFT. Values from VASP.

The structure in Quantum ESPRESSO input format:
```
&SYSTEM
  ibrav = 0, nat = 6, ntyp = 3
/
ATOMIC_SPECIES
Y 88.91 Y.upf
Zn 65.41 Zn.upf
Os 190.23 Os.upf
CELL_PARAMETERS angstrom
3.4455 -3.4455 0.0000
3.4455 3.4455 0.0000
-0.0092 0.0000 6.9640
ATOMIC_POSITIONS angstrom
Y 1.7187 0.0000 1.6498
Y 1.7188 -0.0020 5.3121
Y 5.1630 -0.0020 1.6519
Y 5.1631 0.0000 5.3142
Zn 3.4409 -1.7216 3.4820
Os 3.4455 1.7211 0.0000
```

## Properties
The symmetry is C2. The magnetization comes out at 0.00 μB per cell.



*three*
Computed, not measured: Y4ZnOs after structural relaxation at the PBE level of DFT. Values from VASP.

The structure in Quantum ESPRESSO input format:
```
&SYSTEM
  ibrav = 0, nat = 12, ntyp = 3
/
ATOMIC_SPECIES
Y 88.91 Y.upf
Zn 65.41 Zn.upf
Os 190.23 Os.upf
CELL_PARAMETERS angstrom
4.4813 -6.5645 0.0000
4.4813 6.5645 0.0000
-2.9531 0.0000 5.4677
ATOMIC_POSITIONS angstrom
Y 0.7309 4.2777 5.0210
Y 0.5376 0.9122 3.7618
Y 3.8019 4.2777 3.1805
Y 2.0142 -0.9122 1.0279
Y 3.9952 0.9122 4.4397
Y 2.2074 -4.2777 2.2872
Y 5.4718 -0.9122 1.7059
Y 5.2785 -4.2777 0.4467
Zn 3.7430 1.6874 1.3669
Zn 2.2664 -1.6874 4.1008
Os 3.7430 6.5592 1.3669
Os 2.2664 -6.5592 4.1008
```

## Properties
The symmetry is C2/c. The magnetization comes out at 0.00 μB per cell.



Which of them is least stable? Easy: *one*.



*one*
Computed, not measured: YZn2Os2 after structural relaxation at the PBE level of DFT. Values from VASP.

The structure in Quantum ESPRESSO input format:
```
&SYSTEM
  ibrav = 0, nat = 5, ntyp = 3
/
ATOMIC_SPECIES
Y 88.91 Y.upf
Zn 65.41 Zn.upf
Os 190.23 Os.upf
CELL_PARAMETERS angstrom
4.7205 0.0000 0.0000
0.0000 4.7205 0.0000
0.0000 0.0000 4.7829
ATOMIC_POSITIONS angstrom
Y 0.0000 0.0000 0.0000
Zn 0.0000 2.3602 2.3914
Zn 2.3602 0.0000 2.3914
Os 2.3602 2.3602 0.0000
Os 2.3602 2.3602 2.3914
```

## Properties
The symmetry is P4/mmm. The magnetization comes out at 0.00 μB per cell.



*two*
Computed, not measured: YZn2Os2 after structural relaxation at the PBE level of DFT. Values from VASP.

The structure in Quantum ESPRESSO input format:
```
&SYSTEM
  ibrav = 0, nat = 5, ntyp = 3
/
ATOMIC_SPECIES
Y 88.91 Y.upf
Zn 65.41 Zn.upf
Os 190.23 Os.upf
CELL_PARAMETERS angstrom
-2.1378 2.1378 5.0856
2.1378 -2.1378 5.0856
2.1378 2.1378 -5.0856
ATOMIC_POSITIONS angstrom
Y 0.0000 0.0000 0.0000
Zn 2.1378 0.0000 2.5428
Zn 0.0000 2.1378 2.5428
Os 0.0000 0.0000 3.9317
Os 0.0000 0.0000 6.2395
```

## Properties
The symmetry is I4/mmm. The magnetization comes out at 0.00 μB per cell.



Which of them is least stable? Easy: *one*.



*one*
Computed, not measured: Y8Zn2Os after structural relaxation at the PBE level of DFT. Values from VASP.

The structure in Quantum ESPRESSO input format:
```
&SYSTEM
  ibrav = 0, nat = 11, ntyp = 3
/
ATOMIC_SPECIES
Y 88.91 Y.upf
Zn 65.41 Zn.upf
Os 190.23 Os.upf
CELL_PARAMETERS angstrom
3.8182 -7.8400 0.0000
3.8182 7.8400 0.0000
-3.3905 0.0000 5.1736
ATOMIC_POSITIONS angstrom
Y 0.0000 0.0000 0.0000
Y 1.6767 3.0080 0.6956
Y 2.1980 5.9944 2.4824
Y 1.3276 1.8005 4.2985
Y 1.6767 -3.0080 0.6956
Y 3.0356 0.0000 1.8845
Y 1.3276 -1.8005 4.2985
Y 2.1980 -5.9944 2.4824
Zn 3.6785 3.4143 3.3748
Zn 3.6785 -3.4143 3.3748
Os -0.8367 0.0000 4.4199
```

## Properties
The symmetry is Cm. The magnetization comes out at 0.00 μB per cell.



*two*
Computed, not measured: Y8Zn2Os after structural relaxation at the PBE level of DFT. Values from VASP.

The structure in Quantum ESPRESSO input format:
```
&SYSTEM
  ibrav = 0, nat = 11, ntyp = 3
/
ATOMIC_SPECIES
Y 88.91 Y.upf
Zn 65.41 Zn.upf
Os 190.23 Os.upf
CELL_PARAMETERS angstrom
8.7920 -2.5827 0.0000
8.7920 2.5827 0.0000
-2.1059 0.0000 6.4754
ATOMIC_POSITIONS angstrom
Y -0.1419 0.0000 1.9013
Y 1.7845 0.0000 5.2697
Y 4.8530 0.0000 3.4368
Y 7.0687 0.0000 0.4228
Y 8.4094 0.0000 6.0526
Y 10.6251 0.0000 3.0386
Y 13.6935 0.0000 1.2057
Y 15.6200 0.0000 4.5741
Zn 2.7672 0.0000 1.4120
Zn 12.7108 0.0000 5.0634
Os 7.7390 0.0000 3.2377
```

## Properties
The symmetry is C2/m. The magnetization comes out at 0.00 μB per cell.



Which of them is least stable? Easy: *one*.